Computed, not measured: a geometry-optimized RbLa structure at the PBE-GGA level of DFT.

Properties
SG: P6_3mc (186)
Magnetic moment, μB/cell: 0.00
Energy of formation, eV/f.u.: 1.0

a b c (Å): 3.8257 3.8257 15.3008
angles (deg): 90.00 90.00 120.00
Element x y z (fractional)
1 Rb 0.3333 0.6667 0.0000
2 Rb 0.6667 0.3333 0.5000
3 La 0.3333 0.6667 0.2504
4 La 0.6667 0.3333 0.7504